Below is a relaxed structure of Pr4Mg5Pb6, with properties calculated at the PBE level.

The structure in CIF format:
```
data_Pr4Mg5Pb6
_symmetry_space_group_name_H-M 'C m c 21'
_symmetry_Int_Tables_number 36
_symmetry_space_group_name_Hall 'C 2c -2'
_cell_length_a 4.8211
_cell_length_b 21.2931
_cell_length_c 17.0933
_cell_angle_alpha 90.00
_cell_angle_beta 90.00
_cell_angle_gamma 90.00
loop_
_atom_site_label
_atom_site_fract_x
_atom_site_fract_y
_atom_site_fract_z
_atom_site_occupancy
Pr1 0.0000 0.0197 0.0000 1
Pr2 0.0000 0.0332 0.2664 1
Pr3 0.0000 0.1636 0.8018 1
Pr4 0.0000 0.1748 0.4433 1
Mg1 0.0000 0.1541 0.1275 1
Mg2 0.0000 0.3035 0.1209 1
Mg3 0.0000 0.3427 0.7731 1
Mg4 0.0000 0.3485 0.4858 1
Mg5 0.0000 0.4380 0.1828 1
Pb1 0.0000 0.1097 0.6163 1
Pb2 0.0000 0.2260 0.9784 1
Pb3 0.0000 0.2340 0.2687 1
Pb4 0.0000 0.4280 0.9164 1
Pb5 0.0000 0.4317 0.6301 1
Pb6 0.0000 0.4381 0.3545 1
```

Results
M_tot	0.00	Bohr magnetons per cell
ΔH_f (0 K)	-394	meV/atom
Fermi-level density of states	2.165	states/eV/f.u.
calculated volume	1754.7	Å³ per cell
uncorrected energy	-0.27074	Ry per atom